Entry from Alexandria via LeMat-Bulk: NaMn3F after structural relaxation (PBE with a Hubbard U).

Lattice parameters (Å, degrees): 4.7408 4.7408 4.7408 90.00 90.00 90.00
Last column: nearest neighbours and their distance in Å.
Element x y z (fractional)
Na 0.5000 0.5000 0.5000  12 Mn 3.35
Mn 0.0000 0.5000 0.0000  2 F 2.37
Mn 0.0000 0.0000 0.5000  2 F 2.37
Mn 0.5000 0.0000 0.0000  2 F 2.37
F 0.0000 0.0000 0.0000  6 Mn 2.37

Total energy in eV per atom: -5.024
SG: Pm-3m, No. 221
Fermi-level density of states in states/eV per atom: 0.350
Calculated density in Mg/m³: 3.223